# Tm2CoSb | OQMD | GGA-PBE | relaxed
data_Tm2CoSb
_chemical_formula_sum 'Tm8 Co4 Sb4'
_symmetry_space_group_name_H-M 'I 4/m m m'
_symmetry_Int_Tables_number 139
_symmetry_space_group_name_Hall '-I 4 2'
_cell_length_a 4.545
_cell_length_b 4.545
_cell_length_c 16.364
_cell_angle_alpha 90.00
_cell_angle_beta 90.00
_cell_angle_gamma 90.00
loop_
_atom_site_label
_atom_site_type_symbol
_atom_site_fract_x
_atom_site_fract_y
_atom_site_fract_z
Tm1 Tm 0.000 0.000 0.158
Tm2 Tm 0.000 0.500 0.000
Co1 Co 0.000 0.500 0.250
Sb1 Sb 0.000 0.000 0.354
# - Crystal system: tetragonal
# - Total magnetization: 0.10 μB per atom
# - VASP energy: -5.391 eV/atom
# - Mass density: 10.2 Mg/m³